No. 1
Compound: LaPrMoN4
Source: Alexandria
Functional: GGA-PBE
Structure: optimized geometry

Lattice parameters (Å, degrees): 3.968 3.968 6.997 106.47 106.47 90.00
Atoms (fractional coordinates):
La 0.649 0.649 0.298
Pr 0.358 0.358 0.716
Mo 0.008 0.008 0.015
N 0.997 0.497 0.994
N 0.497 0.997 0.994
N 0.829 0.829 0.659
N 0.162 0.162 0.324

## Properties
Raw formation energy: -966 meV per atom
Calculated volume: 101 Å³/cell
Magnetization: 0.0000 μB per atom

No. 2
Compound: MgTc2W
Source: Alexandria
Functional: GGA-PBE
Structure: optimized geometry

Lattice parameters (Å, degrees): 7.170 7.170 5.771 51.60 51.60 90.00
Atoms (fractional coordinates):
Mg 0.500 0.500 0.000
Mg 0.250 0.750 0.500
Tc 0.663 0.125 0.250
Tc 0.087 0.625 0.250
Tc 0.375 0.337 0.750
Tc 0.875 0.913 0.750
W 0.000 0.000 0.000
W 0.750 0.250 0.500

## Properties
Calculated volume: 142 Å³/cell
Energy: -8.05 eV/atom
Magnetization: 0.0001 μB per atom

No. 3
Compound: SiOs2N
Source: Alexandria
Functional: GGA-PBE
Structure: optimized geometry

Lattice parameters (Å, degrees): 4.068 4.068 4.068 60.00 60.00 60.00
Atoms (fractional coordinates):
Si 0.500 0.500 0.500
Os 0.250 0.250 0.250
Os 0.750 0.750 0.750
N 0.000 0.000 0.000

## Properties
Raw formation energy: 832 meV per atom
Calculated volume: 48 Å³/cell
E above lowest polymorph: 346.0 meV per atom
Magnetization: 0.0000 μB per atom

No. 4
Compound: LiYZn2As
Source: Alexandria
Functional: GGA-PBE
Structure: optimized geometry

Lattice parameters (Å, degrees): 4.911 5.370 4.911 90.00 90.00 90.00
Atoms (fractional coordinates):
Y 0.000 0.500 0.000
As 0.000 0.000 0.000
Zn 0.000 0.000 0.500
Zn 0.500 0.000 0.000
Li 0.500 0.500 0.500

## Properties
Calculated volume: 130 Å³/cell
Energy: -3.04 eV/atom
Magnetization: 0.0000 μB per atom

No. 5
Compound: RbAgP2O6
Source: Alexandria
Functional: GGA-PBE
Structure: optimized geometry

Lattice parameters (Å, degrees): 13.537 6.340 7.672 84.38 90.00 90.00
Atoms (fractional coordinates):
Rb 0.166 0.288 0.760
Rb 0.834 0.712 0.240
Rb 0.666 0.712 0.740
Rb 0.334 0.288 0.260
Ag 0.972 0.814 0.806
Ag 0.028 0.186 0.194
Ag 0.472 0.186 0.694
Ag 0.528 0.814 0.306
P 0.366 0.689 0.642
P 0.634 0.311 0.358
P 0.866 0.311 0.858
P 0.134 0.689 0.142
P 0.170 0.841 0.495
P 0.830 0.159 0.505
P 0.670 0.159 0.005
P 0.330 0.841 0.995
O 0.855 0.937 0.577
O 0.145 0.063 0.423
O 0.355 0.063 0.923
O 0.645 0.937 0.077
O 0.351 0.469 0.590
O 0.649 0.531 0.410
O 0.851 0.531 0.910
O 0.149 0.469 0.090
O 0.117 0.733 0.651
O 0.883 0.267 0.349
O 0.617 0.267 0.849
O 0.383 0.733 0.151
O 0.288 0.853 0.539
O 0.712 0.147 0.461
O 0.788 0.147 0.961
O 0.212 0.853 0.039
O 0.465 0.796 0.621
O 0.535 0.204 0.379
O 0.965 0.204 0.879
O 0.035 0.796 0.121
O 0.330 0.677 0.845
O 0.670 0.323 0.155
O 0.830 0.323 0.655
O 0.170 0.677 0.345

## Properties
Raw formation energy: -1911 meV per atom
Calculated volume: 655 Å³/cell
Magnetization: 0.0000 μB per atom

No. 6
Compound: MgTi2O4
Source: Alexandria
Functional: GGA-PBE
Structure: optimized geometry

Lattice parameters (Å, degrees): 5.035 5.035 10.025 90.00 90.00 146.60
Atoms (fractional coordinates):
Mg 0.882 0.118 0.750
Mg 0.118 0.882 0.250
Ti 0.628 0.372 0.570
Ti 0.372 0.628 0.070
Ti 0.372 0.628 0.430
Ti 0.628 0.372 0.930
O 0.276 0.724 0.882
O 0.724 0.276 0.118
O 0.000 0.000 0.000
O 0.276 0.724 0.618
O 0.463 0.537 0.250
O 0.000 0.000 0.500
O 0.537 0.463 0.750
O 0.724 0.276 0.382

## Properties
Raw formation energy: -2801 meV per atom
Calculated volume: 140 Å³/cell
E above lowest polymorph: 21.5 meV per atom
Magnetization: 0.0001 μB per atom

No. 7
Compound: Sm12SnHg6
Source: Alexandria
Functional: GGA-PBE
Structure: optimized geometry

Lattice parameters (Å, degrees): 8.929 8.929 8.929 100.59 100.59 100.59
Atoms (fractional coordinates):
Sm 0.822 0.573 0.430
Sm 0.430 0.822 0.573
Sm 0.573 0.430 0.822
Sm 0.178 0.427 0.570
Sm 0.570 0.178 0.427
Sm 0.427 0.570 0.178
Sm 0.066 0.931 0.328
Sm 0.069 0.672 0.934
Sm 0.672 0.934 0.069
Sm 0.934 0.069 0.672
Sm 0.931 0.328 0.066
Sm 0.328 0.066 0.931
Sn 0.000 0.000 0.000
Hg 0.693 0.861 0.390
Hg 0.610 0.307 0.139
Hg 0.139 0.610 0.307
Hg 0.307 0.139 0.610
Hg 0.390 0.693 0.861
Hg 0.861 0.390 0.693

## Properties
Calculated volume: 670 Å³/cell
Energy: -3.37 eV/atom
Magnetization: 0.0002 μB per atom

No. 8
Compound: Rb2GaSbF6
Source: Alexandria
Functional: GGA-PBE
Structure: optimized geometry

Lattice parameters (Å, degrees): 6.635 6.635 6.635 60.00 60.00 90.00
Atoms (fractional coordinates):
Sb 0.000 0.000 0.000
Ga 0.500 0.500 0.000
Rb 0.750 0.250 0.500
Rb 0.250 0.750 0.500
F 0.235 0.235 0.530
F 0.765 0.765 0.470
F 0.235 0.235 0.000
F 0.765 0.765 0.000
F 0.765 0.235 0.000
F 0.235 0.765 0.000

## Properties
Raw formation energy: -2365 meV per atom
Calculated volume: 207 Å³/cell
Magnetization: 0.0000 μB per atom

magnetization of number 2 (MgTc2W)?
0.0001 μB per atom

Repeat the first record exactly.
Compound: LaPrMoN4
Source: Alexandria
Functional: GGA-PBE
Structure: optimized geometry

Lattice parameters (Å, degrees): 3.968 3.968 6.997 106.47 106.47 90.00
Atoms (fractional coordinates):
La 0.649 0.649 0.298
Pr 0.358 0.358 0.716
Mo 0.008 0.008 0.015
N 0.997 0.497 0.994
N 0.497 0.997 0.994
N 0.829 0.829 0.659
N 0.162 0.162 0.324

## Properties
Raw formation energy: -966 meV per atom
Calculated volume: 101 Å³/cell
Magnetization: 0.0000 μB per atom

What is the formula in the first record?
LaPrMoN4

Among the records above, which one has the highest calculated volume?
Sm12SnHg6